1.
Compound: MgSiSnHS
Source: the Alexandria database
Functional: PBE
Structure: relaxed

Cell and atoms, written as CIF:
```
data_MgSiSnHS
_chemical_formula_sum 'Mg1 Si1 Sn1 H1 S1'
_cell_length_a 3.900
_cell_length_b 4.101
_cell_length_c 6.862
_cell_angle_alpha 90.20
_cell_angle_beta 91.71
_cell_angle_gamma 115.87
_symmetry_space_group_name_H-M 'P 1'
_symmetry_Int_Tables_number 1
loop_
_symmetry_equiv_pos_as_xyz
'x,y,z'
loop_
_atom_site_label
_atom_site_fract_x
_atom_site_fract_y
_atom_site_fract_z
_atom_site_occupancy
Mg1 0.000 0.000 0.000 1
Si1 0.824 0.237 0.433 1
Sn1 0.309 0.773 0.659 1
H1 0.030 0.024 0.361 1
S1 0.678 0.363 0.130 1
```

Properties
Its volume is 99 Å³/f.u. The value obtained for the energy above the most stable polymorph in this dataset is 0.002 eV/atom. The electronic total energy comes out at -3.957 eV/atom. Its density of states at the Fermi level is 0.110 states/eV/atom.

---

2.
Compound: Pm12HoGe7
Source: the Alexandria database
Functional: PBE
Structure: relaxed

Cell and atoms, written as CIF:
```
data_Pm12HoGe7
_chemical_formula_sum 'Pm36 Ho3 Ge21'
_cell_length_a 15.0232
_cell_length_b 15.0232
_cell_length_c 9.9503
_cell_angle_alpha 90.00
_cell_angle_beta 90.00
_cell_angle_gamma 120.00
_symmetry_space_group_name_H-M 'R -3'
_symmetry_Int_Tables_number 148
_symmetry_space_group_name_Hall '-R 3'
loop_
_atom_site_label
_atom_site_fract_x
_atom_site_fract_y
_atom_site_fract_z
_atom_site_occupancy
Pm1 0.0311 0.5937 0.1632 1
Pm2 0.0512 0.1822 0.8377 1
Ho1 0.0000 0.0000 0.5000 1
Ge1 0.0000 0.0000 0.0000 1
Ge2 0.0510 0.1806 0.3272 1
```

Properties
Its volume is 648 Å³/f.u. For the formation enthalpy at 0 K, the calculation gives -8.78 eV/f.u. The electronic total energy comes out at -5.134 eV/atom. Its density of states at the Fermi level is 1.070 states/eV/atom.

---

3.
Compound: Nd4Ir3Pd
Source: the Alexandria database
Functional: PBE
Structure: relaxed

Cell and atoms, written as CIF:
```
data_Nd4Ir3Pd
_chemical_formula_sum 'Nd4 Ir3 Pd1'
_cell_length_a 4.016
_cell_length_b 4.299
_cell_length_c 10.999
_cell_angle_alpha 90.00
_cell_angle_beta 90.00
_cell_angle_gamma 90.00
_symmetry_space_group_name_H-M 'P m m 2'
_symmetry_Int_Tables_number 25
loop_
_symmetry_equiv_pos_as_xyz
'x,y,z'
'-x,-y,z'
'-x,y,z'
'x,-y,z'
loop_
_atom_site_label
_atom_site_fract_x
_atom_site_fract_y
_atom_site_fract_z
_atom_site_occupancy
Nd1 0.000 0.000 0.000 1
Nd2 0.000 0.500 0.278 1
Nd3 0.500 0.000 0.489 1
Nd4 0.500 0.500 0.779 1
Ir1 0.000 0.500 0.553 1
Ir2 0.500 0.000 0.216 1
Ir3 0.500 0.500 0.050 1
Pd1 0.000 0.000 0.718 1
```

Properties
Its volume is 190 Å³/f.u. For the formation enthalpy at 0 K, the calculation gives -5.39 eV/f.u. The electronic total energy comes out at -7.030 eV/atom. Its density of states at the Fermi level is 0.414 states/eV/atom.